#a
Compound: Cs2MgAu2
Source: Alexandria via LeMat-Bulk
Functional: PBE
Structure: relaxed

The total magnetic moment is 0.00 μB per cell. The calculation puts the density of states at the Fermi level at 1.13 states/eV/f.u.

Lattice parameters (Å, degrees): 7.9098 7.9098 5.6042 90.00 90.00 90.00
Closest atoms and distances in Å follow each position.
Space group P4/mbm (No. 127)
Asymmetric unit:
Cs1 0.1690 0.3310 0.0000 x4  6 Au 3.53-3.72, 1 Cs 3.78
Mg1 0.0000 0.0000 0.5000 x2  4 Au 3.06
Au1 0.1396 0.6396 0.5000 x4  2 Mg 3.06, 1 Au 3.12

=====

#b
Compound: Cs2MgAu2
Source: Alexandria via LeMat-Bulk
Functional: PBE
Structure: relaxed

The total magnetic moment is 0.00 μB per cell. The calculation puts the density of states at the Fermi level at 2.63 states/eV/f.u.

Lattice parameters (Å, degrees): 7.1509 7.1509 8.1147 90.00 90.00 90.00
Closest atoms and distances in Å follow each position.
Space group I4/mmm (No. 139)
Asymmetric unit:
Cs1 0.0000 0.5000 0.2500 x4  4 Au 3.63, 2 Cs 4.06
Mg1 0.0000 0.0000 0.0000 x2  2 Au 2.67
Au1 0.0000 0.0000 0.3291 x4  1 Mg 2.67, 1 Au 2.77

=====

Here is how they stack up, most stable first: #a, #b.

=====

#a
Compound: CsMgAu2
Source: Alexandria via LeMat-Bulk
Functional: PBE
Structure: relaxed

The total magnetic moment is 0.00 μB per cell. The calculation puts the density of states at the Fermi level at 1.07 states/eV/f.u.

Lattice parameters (Å, degrees): 7.7488 7.7488 7.7488 90.00 90.00 90.00
Closest atoms and distances in Å follow each position.
Space group Fm-3m (No. 225)
Asymmetric unit:
Cs1 0.0000 0.0000 0.0000 x4  8 Au 3.36
Mg1 0.0000 0.0000 0.5000 x4  8 Au 3.36
Au1 0.2500 0.2500 0.2500 x8  4 Mg 3.36, 4 Cs 3.36

=====

#b
Compound: CsMgAu2
Source: Alexandria via LeMat-Bulk
Functional: PBE
Structure: relaxed

The total magnetic moment is 0.00 μB per cell. The calculation puts the density of states at the Fermi level at 1.95 states/eV/f.u.

Lattice parameters (Å, degrees): 4.8156 4.8156 19.3339 90.00 90.00 120.00
Closest atoms and distances in Å follow each position.
Space group R-3m (No. 166, hexagonal axes)
Asymmetric unit:
Cs1 0.0000 0.0000 0.0000 x3  8 Au 3.59-3.99
Mg1 0.0000 0.0000 0.5000 x3  6 Au 2.80
Au1 0.0000 0.0000 0.1856 x6  3 Mg 2.80, 3 Au 2.87

=====

#c
Compound: CsMgAu2
Source: Alexandria via LeMat-Bulk
Functional: PBE
Structure: relaxed

The total magnetic moment is 0.00 μB per cell. The calculation puts the density of states at the Fermi level at 0.85 states/eV/f.u.

Lattice parameters (Å, degrees): 3.6293 3.6293 8.1703 90.00 90.00 90.00
Closest atoms and distances in Å follow each position.
Space group P4/mmm (No. 123)
Asymmetric unit:
Cs1 0.0000 0.0000 0.0000 x1  4 Cs 3.63, 8 Au 3.71
Mg1 0.0000 0.0000 0.5000 x1  8 Au 2.93
Au1 0.5000 0.5000 0.3281 x2  1 Au 2.81, 4 Mg 2.93

=====

Here is how they stack up, most stable first: #b, #c, #a.

=====

#a
Compound: CsMg2Au
Source: Alexandria via LeMat-Bulk
Functional: PBE
Structure: relaxed

The total magnetic moment is 0.00 μB per cell. The calculation puts the density of states at the Fermi level at 0.62 states/eV/f.u.

Lattice parameters (Å, degrees): 6.6849 6.6849 15.8590 90.00 90.00 90.00
Closest atoms and distances in Å follow each position.
Space group I-42d (No. 122)
Asymmetric unit:
Cs1 0.0000 0.0000 0.0000 x4  8 Mg 4.22-4.24, 4 Au 4.73
Mg1 0.0010 0.2500 0.6250 x8  2 Au 2.59
Au1 0.0000 0.0000 0.5000 x4  4 Mg 2.59

=====

#b
Compound: CsMg2Au
Source: Alexandria via LeMat-Bulk
Functional: PBE
Structure: relaxed

The total magnetic moment is 0.00 μB per cell. The calculation puts the density of states at the Fermi level at 1.60 states/eV/f.u.

Lattice parameters (Å, degrees): 7.8108 7.8108 7.8108 90.00 90.00 90.00
Closest atoms and distances in Å follow each position.
Space group Fm-3m (No. 225)
Asymmetric unit:
Cs1 0.0000 0.0000 0.0000 x4  8 Mg 3.38
Mg1 0.2500 0.2500 0.2500 x8  4 Cs 3.38, 4 Au 3.38
Au1 0.0000 0.0000 0.5000 x4  8 Mg 3.38

=====

Here is how they stack up, most stable first: #a, #b.

=====

#a
Compound: Cs2NaMgAu
Source: Alexandria via LeMat-Bulk
Functional: PBE
Structure: relaxed

The total magnetic moment is 0.02 μB per cell. The calculation puts the density of states at the Fermi level at 4.53 states/eV/f.u.

Lattice parameters (Å, degrees): 7.2806 7.2806 5.9257 90.00 90.00 90.00
Closest atoms and distances in Å follow each position.
Space group P4/mmm (No. 123)
Asymmetric unit:
Cs1 0.0000 0.5000 0.0000 x2  2 Mg 3.64
Na1 0.0000 0.0000 0.5000 x1  2 Mg 2.96
Mg1 0.0000 0.0000 0.0000 x1  2 Na 2.96
Au1 0.5000 0.5000 0.5000 x1  8 Cs 4.69, 4 Na 5.15

=====

#b
Compound: Cs2NaMgAu
Source: Alexandria via LeMat-Bulk
Functional: PBE
Structure: relaxed

The total magnetic moment is 0.00 μB per cell. The calculation puts the density of states at the Fermi level at 2.77 states/eV/f.u.

Lattice parameters (Å, degrees): 7.0021 7.0021 5.4295 90.00 90.00 90.00
Closest atoms and distances in Å follow each position.
Space group P4/mmm (No. 123)
Asymmetric unit:
Cs1 0.0000 0.5000 0.0000 x2  2 Au 3.50
Na1 0.0000 0.0000 0.5000 x1  8 Cs 4.43, 4 Mg 4.95
Mg1 0.5000 0.5000 0.5000 x1  2 Au 2.71
Au1 0.5000 0.5000 0.0000 x1  2 Mg 2.71

=====

Here is how they stack up, most stable first: #b, #a.

=====

#a
Compound: CsAuN2
Source: Alexandria via LeMat-Bulk
Functional: PBE
Structure: relaxed

The total magnetic moment is 0.00 μB per cell. The calculation puts the density of states at the Fermi level at 5.56 states/eV/f.u.

Lattice parameters (Å, degrees): 6.5151 6.5151 6.5151 90.00 90.00 90.00
Closest atoms and distances in Å follow each position.
Space group Fm-3m (No. 225)
Asymmetric unit:
Cs1 0.0000 0.0000 0.0000 x4  8 N 2.82
Au1 0.0000 0.0000 0.5000 x4  8 N 2.82
N1 0.2500 0.2500 0.2500 x8  4 Cs 2.82, 4 Au 2.82

=====

#b
Compound: CsAuN2
Source: Alexandria via LeMat-Bulk
Functional: PBE
Structure: relaxed

The total magnetic moment is 0.00 μB per cell. The calculation puts the density of states at the Fermi level at 1.76 states/eV/f.u.

Lattice parameters (Å, degrees): 5.3259 18.4689 5.4196 90.00 90.09 90.00
Closest atoms and distances in Å follow each position.
Space group C2/c (No. 15)
Asymmetric unit:
Cs1 0.0000 0.1117 0.2500 x4  6 N 3.38-3.70, 4 Au 3.63
Au1 0.0000 0.5000 0.0000 x4  2 Au 2.71
N1 0.1068 0.2444 0.7501 x8  1 N 1.14

=====

Here is how they stack up, most stable first: #b, #a.

=====

#a
Compound: Cs3NaAu
Source: Alexandria via LeMat-Bulk
Functional: PBE
Structure: relaxed

The total magnetic moment is 0.00 μB per cell. The calculation puts the density of states at the Fermi level at 3.73 states/eV/f.u.

Lattice parameters (Å, degrees): 9.6393 8.5098 16.7054 90.00 94.72 90.00
Closest atoms and distances in Å follow each position.
Space group P2/c (No. 13)
Asymmetric unit:
Cs1 0.1129 0.2237 0.0350 x4  2 Au 3.72-3.81
Cs2 0.2590 0.1159 0.3054 x4  2 Au 3.57-3.69
Cs3 0.3743 0.3003 0.5972 x4  1 Au 3.73
Na1 0.1554 0.3811 0.8006 x4  2 Au 3.01-3.19, 1 Na 3.32
Au1 0.0509 0.1272 0.6687 x4  1 Au 2.96, 2 Na 3.01-3.19

=====

#b
Compound: Cs3NaAu
Source: Alexandria via LeMat-Bulk
Functional: PBE
Structure: relaxed

The total magnetic moment is 0.00 μB per cell. The calculation puts the density of states at the Fermi level at 3.33 states/eV/f.u.

Lattice parameters (Å, degrees): 4.9217 10.1639 13.6489 90.00 100.34 90.00
Closest atoms and distances in Å follow each position.
Space group P2_1/m (No. 11)
Asymmetric unit:
Cs1 0.0983 0.0026 0.1948 x4  2 Au 3.64-3.65
Cs2 0.2371 0.7500 0.4739 x2  2 Au 3.84
Na1 0.4881 0.2500 0.9776 x2  1 Au 3.11
Au1 0.3723 0.2500 0.7457 x2  1 Na 3.11

=====

#c
Compound: Cs3NaAu
Source: Alexandria via LeMat-Bulk
Functional: PBE
Structure: relaxed

The total magnetic moment is 0.01 μB per cell. The calculation puts the density of states at the Fermi level at 9.32 states/eV/f.u.

Lattice parameters (Å, degrees): 7.1315 7.1315 7.1315 90.00 90.00 90.00
Closest atoms and distances in Å follow each position.
Space group Pm-3m (No. 221)
Asymmetric unit:
Cs1 0.0000 0.0000 0.5000 x3  2 Au 3.57
Na1 0.5000 0.5000 0.5000 x1  12 Cs 5.04
Au1 0.0000 0.0000 0.0000 x1  6 Cs 3.57

=====

Here is how they stack up, most stable first: #b, #a, #c.

=====

#a
Compound: Cs2NaAu2
Source: Alexandria via LeMat-Bulk
Functional: PBE
Structure: relaxed

The total magnetic moment is 0.00 μB per cell. The calculation puts the density of states at the Fermi level at 2.78 states/eV/f.u.

Lattice parameters (Å, degrees): 5.6265 5.6265 14.4662 90.00 90.00 90.00
Closest atoms and distances in Å follow each position.
Space group I4/mmm (No. 139)
Asymmetric unit:
Cs1 0.0000 0.5000 0.2500 x4  4 Au 3.58, 4 Cs 3.98
Na1 0.0000 0.0000 0.0000 x2  8 Au 4.22, 8 Cs 4.58
Au1 0.0000 0.0000 0.4032 x4  1 Au 2.80

=====

#b
Compound: Cs2NaAu2
Source: Alexandria via LeMat-Bulk
Functional: PBE
Structure: relaxed

The total magnetic moment is 0.00 μB per cell. The calculation puts the density of states at the Fermi level at 1.19 states/eV/f.u.

Lattice parameters (Å, degrees): 10.2393 10.2393 4.0548 90.00 90.00 90.00
Closest atoms and distances in Å follow each position.
Space group P4/mbm (No. 127)
Asymmetric unit:
Cs1 0.1362 0.3638 0.0000 x4  6 Au 3.54-3.68, 1 Cs 3.95
Na1 0.0000 0.0000 0.0000 x2  4 Cs 3.98, 2 Na 4.05, 8 Au 4.34
Au1 0.1631 0.6631 0.5000 x4  6 Cs 3.54-3.68

=====

#c
Compound: Cs2NaAu2
Source: Alexandria via LeMat-Bulk
Functional: PBE
Structure: relaxed

The total magnetic moment is 0.00 μB per cell. The calculation puts the density of states at the Fermi level at 2.07 states/eV/f.u.

Lattice parameters (Å, degrees): 4.8147 7.2816 11.1365 90.00 90.00 90.00
Closest atoms and distances in Å follow each position.
Space group Immm (No. 71)
Asymmetric unit:
Cs1 0.0000 0.0000 0.2022 x4  6 Au 3.65-3.91
Na1 0.0000 0.5000 0.0000 x2  4 Au 3.17
Au1 0.0000 0.2842 0.5000 x4  1 Au 3.14, 2 Na 3.17

=====

Here is how they stack up, most stable first: #c, #b, #a.

=====

#a
Compound: CsNa3Au
Source: Alexandria via LeMat-Bulk
Functional: PBE
Structure: relaxed

The total magnetic moment is 0.00 μB per cell. The calculation puts the density of states at the Fermi level at 10.25 states/eV/f.u.

Lattice parameters (Å, degrees): 6.9637 6.9637 6.9637 90.00 90.00 90.00
Closest atoms and distances in Å follow each position.
Space group Pm-3m (No. 221)
Asymmetric unit:
Cs1 0.0000 0.0000 0.0000 x1  6 Na 3.48
Na1 0.0000 0.0000 0.5000 x3  2 Cs 3.48
Au1 0.5000 0.5000 0.5000 x1  12 Na 4.92

=====

#b
Compound: CsNa3Au
Source: Alexandria via LeMat-Bulk
Functional: PBE
Structure: relaxed

The total magnetic moment is 0.00 μB per cell. The calculation puts the density of states at the Fermi level at 2.72 states/eV/f.u.

Lattice parameters (Å, degrees): 9.0615 4.8791 9.3348 90.00 106.43 90.00
Closest atoms and distances in Å follow each position.
Space group P2_1 (No. 4)
Asymmetric unit:
Cs1 0.1945 0.0000 0.1746 x2  2 Au 3.71, 4 Na 4.03-4.11
Na1 0.1327 0.9982 0.6375 x2  1 Au 3.06
Na2 0.3814 0.4988 0.9011 x2  3 Au 3.12-3.19, 3 Na 3.43
Na3 0.3822 0.4989 0.5338 x2  3 Au 3.10-3.15, 3 Na 3.42-3.43
Au1 0.4842 0.9992 0.7436 x2  7 Na 3.06-3.19

=====

#c
Compound: CsNa3Au
Source: Alexandria via LeMat-Bulk
Functional: PBE
Structure: relaxed

The total magnetic moment is 0.00 μB per cell. The calculation puts the density of states at the Fermi level at 3.11 states/eV/f.u.

Lattice parameters (Å, degrees): 5.9256 5.9256 5.9256 90.00 90.00 90.00
Closest atoms and distances in Å follow each position.
Space group Pm-3m (No. 221)
Asymmetric unit:
Cs1 0.0000 0.0000 0.0000 x1  12 Na 4.19
Na1 0.0000 0.5000 0.5000 x3  2 Au 2.96
Au1 0.5000 0.5000 0.5000 x1  6 Na 2.96

=====

#d
Compound: CsNa3Au
Source: Alexandria via LeMat-Bulk
Functional: PBE
Structure: relaxed

The total magnetic moment is 0.00 μB per cell. The calculation puts the density of states at the Fermi level at 2.37 states/eV/f.u.

Lattice parameters (Å, degrees): 6.8273 7.3089 8.5442 89.94 89.99 89.99
Closest atoms and distances in Å follow each position.
Space group P1 (No. 1)
Asymmetric unit:
Cs1 0.0000 0.0000 0.0000 x1  2 Au 3.63-3.77, 1 Na 3.93
Cs2 0.2437 0.5004 0.5016 x1  2 Au 3.63-3.77, 1 Na 3.94
Na1 0.2771 0.5279 0.0017 x1  1 Au 2.91
Na2 0.5104 0.9544 0.2831 x1  2 Au 2.99-3.05
Na3 0.5111 0.9543 0.7173 x1  2 Au 2.99-3.05
Na4 0.7328 0.4533 0.2180 x1  2 Au 2.99-3.06
Na5 0.7330 0.4548 0.7834 x1  2 Au 2.99-3.05
Na6 0.9658 0.0287 0.5002 x1  1 Au 2.91
Au1 0.5114 0.1948 0.0000 x1  5 Na 2.91-3.06
Au2 0.7326 0.6949 0.5001 x1  5 Na 2.91-3.05

=====

Here is how they stack up, most stable first: #b, #d, #c, #a.

=====

#a
Compound: Cs2NaAu
Source: Alexandria via LeMat-Bulk
Functional: PBE
Structure: relaxed

The total magnetic moment is 0.00 μB per cell. The calculation puts the density of states at the Fermi level at 1.96 states/eV/f.u.

Lattice parameters (Å, degrees): 4.5110 4.5110 10.3279 90.00 90.00 90.00
Closest atoms and distances in Å follow each position.
Space group P4/mmm (No. 123)
Asymmetric unit:
Cs1 0.0000 0.0000 0.1993 x2  4 Au 3.80, 1 Cs 4.12
Na1 0.5000 0.5000 0.5000 x1  8 Cs 4.45, 4 Na 4.51
Au1 0.5000 0.5000 0.0000 x1  8 Cs 3.80

=====

#b
Compound: Cs2NaAu
Source: Alexandria via LeMat-Bulk
Functional: PBE
Structure: relaxed

The total magnetic moment is 0.00 μB per cell. The calculation puts the density of states at the Fermi level at 0.32 states/eV/f.u.

Lattice parameters (Å, degrees): 9.2546 9.2546 9.2546 90.00 90.00 90.00
Closest atoms and distances in Å follow each position.
Space group Fm-3m (No. 225)
Asymmetric unit:
Cs1 0.2500 0.2500 0.2500 x8  4 Na 4.01, 4 Au 4.01
Na1 0.0000 0.0000 0.0000 x4  8 Cs 4.01
Au1 0.0000 0.0000 0.5000 x4  8 Cs 4.01

=====

Here is how they stack up, most stable first: #a, #b.

=====

#a
Compound: Cs3NaAu2
Source: Alexandria via LeMat-Bulk
Functional: PBE
Structure: relaxed

The total magnetic moment is 0.00 μB per cell. The calculation puts the density of states at the Fermi level at 4.72 states/eV/f.u.

Lattice parameters (Å, degrees): 20.5174 5.2742 13.5112 90.00 118.45 90.00
Closest atoms and distances in Å follow each position.
Space group C2/m (No. 12)
Asymmetric unit:
Cs1 0.0469 0.0000 0.2395 x4  3 Au 3.54-3.57
Cs2 0.1632 0.5000 0.0011 x4  3 Au 3.71-3.74
Cs3 0.2190 0.0000 0.6155 x4  3 Au 3.54-3.55
Na1 0.0693 0.5000 0.6452 x4  4 Au 3.18-3.23
Au1 0.1071 0.5000 0.4419 x4  2 Na 3.19-3.23, 4 Cs 3.55-3.57
Au2 0.1344 0.0000 0.7911 x4  2 Na 3.18, 2 Cs 3.54

=====

#b
Compound: Cs3NaAu2
Source: Alexandria via LeMat-Bulk
Functional: PBE
Structure: relaxed

The total magnetic moment is 0.00 μB per cell. The calculation puts the density of states at the Fermi level at 2.48 states/eV/f.u.

Lattice parameters (Å, degrees): 14.1805 5.3351 15.0934 90.00 90.00 90.00
Closest atoms and distances in Å follow each position.
Space group Pnma (No. 62)
Asymmetric unit:
Cs1 0.0593 0.2500 0.1147 x4  5 Au 3.79-4.17, 1 Na 3.84
Cs2 0.1310 0.7500 0.5545 x4  5 Au 3.69-4.02, 3 Na 3.87-3.96
Cs3 0.1858 0.2500 0.7985 x4  4 Au 3.70-3.93, 2 Na 3.88
Na1 0.1268 0.2500 0.3609 x4  3 Au 2.99-3.09
Au1 0.0386 0.7500 0.3261 x4  2 Na 2.99
Au2 0.1913 0.7500 0.9731 x4  1 Na 3.09

=====

Here is how they stack up, most stable first: #b, #a.